[1]
Compound: V3TcGe
Source: Alexandria via LeMat-Bulk
Functional: GGA-PBE
Structure: relaxed

Summary:
Volume in Å³ per cell: 86.51
Spin magnetization in Bohr magnetons per cell: 0.26
Symmetry: Pm-3m, No. 221
Formation energy in eV/atom: 1.16
E above lowest polymorph in meV/atom: 1112

Lattice parameters (Å, degrees): 4.4226 4.4226 4.4226 90.00 90.00 90.00
Closest atoms and distances in Å follow each position.
Positions (direct):
V 0.0000 0.0000 0.5000  2 Ge 2.21
V 0.0000 0.5000 0.0000  2 Ge 2.21
V 0.5000 0.0000 0.0000  2 Ge 2.21
Tc 0.5000 0.5000 0.5000  12 V 3.13
Ge 0.0000 0.0000 0.0000  6 V 2.21

=====

[2]
Compound: V5TcGe6
Source: Alexandria via LeMat-Bulk
Functional: GGA-PBE
Structure: relaxed

Summary:
Volume in Å³ per cell: 175.01
Spin magnetization in Bohr magnetons per cell: 0.00
Symmetry: C2/m, No. 12
Formation energy in eV/atom: -0.06

Lattice parameters (Å, degrees): 6.6655 6.6655 4.5881 110.11 110.11 94.76
Closest atoms and distances in Å follow each position.
Positions (direct):
V 0.0000 0.0000 0.0000  4 Ge 2.52
V 0.1699 0.8301 0.5000  4 Ge 2.54-2.55, 4 V 2.80-2.84
V 0.3338 0.6662 0.0000  4 Ge 2.53-2.55, 2 V 2.80, 2 Tc 2.81
V 0.6662 0.3338 0.0000  4 Ge 2.53-2.55, 2 V 2.80, 2 Tc 2.81
V 0.8301 0.1699 0.5000  4 Ge 2.54-2.55, 4 V 2.80-2.84
Tc 0.5000 0.5000 0.5000  4 Ge 2.55, 4 V 2.81
Ge 0.0809 0.4131 0.2465  3 V 2.52-2.54, 1 Tc 2.55, 3 Ge 2.81-2.82
Ge 0.2478 0.2478 0.7467  4 V 2.55, 4 Ge 2.81-2.82
Ge 0.4131 0.0809 0.2465  3 V 2.52-2.54, 1 Tc 2.55, 3 Ge 2.81-2.82
Ge 0.5869 0.9191 0.7535  3 V 2.52-2.54, 1 Tc 2.55, 3 Ge 2.81-2.82
Ge 0.7522 0.7522 0.2533  4 V 2.55, 4 Ge 2.81-2.82
Ge 0.9191 0.5869 0.7535  3 V 2.52-2.54, 1 Tc 2.55, 3 Ge 2.81-2.82

=====

[3]
Compound: VTcGe3
Source: Alexandria via LeMat-Bulk
Functional: GGA-PBE
Structure: relaxed

Summary:
Volume in Å³ per cell: 110.35
Spin magnetization in Bohr magnetons per cell: 4.83
Symmetry: Pm-3m, No. 221
Formation energy in eV/atom: 0.73
E above lowest polymorph in meV/atom: 632

Lattice parameters (Å, degrees): 4.7965 4.7965 4.7965 90.00 90.00 90.00
Closest atoms and distances in Å follow each position.
Positions (direct):
V 0.0000 0.0000 0.0000  12 Ge 3.39
Tc 0.5000 0.5000 0.5000  6 Ge 2.40
Ge 0.0000 0.5000 0.5000  2 Tc 2.40
Ge 0.5000 0.0000 0.5000  2 Tc 2.40
Ge 0.5000 0.5000 0.0000  2 Tc 2.40

=====

[4]
Compound: V4TcGe2
Source: Alexandria via LeMat-Bulk
Functional: GGA-PBE
Structure: relaxed

Summary:
Volume in Å³ per cell: 130.40
Spin magnetization in Bohr magnetons per cell: 2.55
Symmetry: I4/mmm, No. 139
Formation energy in eV/atom: 0.76
E above lowest polymorph in meV/atom: 946

Lattice parameters (Å, degrees): 7.3236 7.3236 7.3236 144.71 144.71 50.76
Closest atoms and distances in Å follow each position.
Positions (direct):
V 0.0000 0.5000 0.5000  2 Tc 2.22
V 0.1805 0.1805 0.0000  1 Tc 2.39, 1 Ge 2.52
V 0.5000 0.0000 0.5000  2 Tc 2.22
V 0.8195 0.8195 0.0000  1 Tc 2.39, 1 Ge 2.52
Tc 0.0000 0.0000 0.0000  6 V 2.22-2.39
Ge 0.3710 0.3710 0.0000  5 V 2.52-2.80
Ge 0.6290 0.6290 0.0000  5 V 2.52-2.80

=====

Please write out number 3 again, unchanged.
Compound: VTcGe3
Source: Alexandria via LeMat-Bulk
Functional: GGA-PBE
Structure: relaxed

Summary:
Volume in Å³ per cell: 110.35
Spin magnetization in Bohr magnetons per cell: 4.83
Symmetry: Pm-3m, No. 221
Formation energy in eV/atom: 0.73
E above lowest polymorph in meV/atom: 632

Lattice parameters (Å, degrees): 4.7965 4.7965 4.7965 90.00 90.00 90.00
Closest atoms and distances in Å follow each position.
Positions (direct):
V 0.0000 0.0000 0.0000  12 Ge 3.39
Tc 0.5000 0.5000 0.5000  6 Ge 2.40
Ge 0.0000 0.5000 0.5000  2 Tc 2.40
Ge 0.5000 0.0000 0.5000  2 Tc 2.40
Ge 0.5000 0.5000 0.0000  2 Tc 2.40

=====

Q: Which value of volume does entry 3 give?
A: 110.35 Å³ per cell